TlBRh3: relaxed, GGA-PBE.

```
data_TlBRh3
_space_group_name_H-M_alt 'I -4 m 2'
_space_group_IT_number 119
_space_group_name_Hall 'I -4 -2'
_cell_length_a 5.144
_cell_length_b 5.144
_cell_length_c 12.805
_cell_angle_alpha 90.00
_cell_angle_beta 90.00
_cell_angle_gamma 90.00
loop_
_atom_site_label
_atom_site_fract_x
_atom_site_fract_y
_atom_site_fract_z
Tl1 0.000 0.000 0.164
B1 0.000 0.000 0.500
B2 0.000 0.500 0.250
Rh1 0.000 0.251 0.376
Rh2 0.000 0.500 0.566
```

Values from the calculation:
The formation energy comes out at 0.3593 eV per atom. Its total energy is -5.860 eV per atom.